(1)
# HfUAu

HfUAu after structural relaxation (PBE, Alexandria).

Lattice parameters (Å, degrees): 3.474 3.474 11.099 99.00 99.00 90.00
Atoms (fractional coordinates):
U: 0.275 0.275 0.550
U: 0.725 0.725 0.450
Hf: 0.126 0.126 0.253
Hf: 0.874 0.874 0.747
Au: 0.561 0.561 0.123
Au: 0.439 0.439 0.877



(2)
# HfV2Au2

HfV2Au2 after structural relaxation (PBE, Alexandria).

Lattice parameters (Å, degrees): 7.706 7.706 2.868 90.00 90.00 90.00
Atoms (fractional coordinates):
Au: 0.188 0.688 0.500
Au: 0.688 0.812 0.500
Au: 0.812 0.312 0.500
Au: 0.312 0.188 0.500
Hf: 0.000 0.000 0.000
Hf: 0.500 0.500 0.000
V: 0.394 0.894 0.000
V: 0.894 0.606 0.000
V: 0.606 0.106 0.000
V: 0.106 0.394 0.000



(3)
# Hf2VAu2

Hf2VAu2 after structural relaxation (PBE, Alexandria).

Lattice parameters (Å, degrees): 7.538 7.538 3.481 90.00 90.00 90.00
Each line ends with the local moment (μB).
Atoms (fractional coordinates):
Au: 0.369 0.869 0.000  0.05
Au: 0.869 0.631 0.000  0.05
Au: 0.631 0.131 0.000  0.05
Au: 0.131 0.369 0.000  0.05
Hf: 0.173 0.673 0.500  0.12
Hf: 0.673 0.827 0.500  0.12
Hf: 0.827 0.327 0.500  0.12
Hf: 0.327 0.173 0.500  0.12
V: 0.000 0.000 0.000  2.41
V: 0.500 0.500 0.000  2.41



(4)
# HfVAu3

HfVAu3 after structural relaxation (PBE, Alexandria).

Lattice parameters (Å, degrees): 4.779 4.779 4.779 90.00 90.00 90.00
Each line ends with the local moment (μB).
Atoms (fractional coordinates):
Au: 0.000 0.500 0.000  0.01
Au: 0.000 0.000 0.500  0.01
Au: 0.500 0.000 0.000  0.01
Hf: 0.500 0.500 0.500  -0.08
V: 0.000 0.000 0.000  0.26



Across the entries above, E takes the values -8.284, -6.876, -7.300, -4.986 eV/atom, respectively.
Across the entries above, density takes the values 15.6, 13.1, 13.5, 12.5 Mg/m³, respectively.